First-principles (GGA-PBE) data for a relaxed NaSBrCl2 crystal, as listed in the Alexandria database.

Unit cell a=5.381 b=5.381 c=4.891 alpha=90.00 beta=90.00 gamma=90.00
Sites, in units of the cell vectors:
S 0.000 0.000 0.500
Cl 0.500 0.000 0.000
Cl 0.000 0.500 0.000
Br 0.000 0.000 0.000
Na 0.500 0.500 0.500

Relative energy among the computed polymorphs   0.000 eV/f.u.
Formation energy (no corrections)   -11.0 kJ/mol of atoms
Space-group type   P4/mmm (123)
Total moment   0.30 μB per cell
Volume   141.6 Å³/f.u.
VASP energy   -11.4 eV per cell
Density of states at the Fermi level   3.92 states/eV per cell

=====

First-principles (GGA-PBE) data for a relaxed NaScBr2Cl crystal, as listed in the Alexandria database.

Unit cell a=5.441 b=5.441 c=5.017 alpha=90.00 beta=90.00 gamma=90.00
Sites, in units of the cell vectors:
Br 0.500 0.000 0.000
Br 0.000 0.500 0.000
Sc 0.000 0.000 0.000
Na 0.500 0.500 0.500
Cl 0.000 0.000 0.500

Formation energy (no corrections)   -140.1 kJ/mol of atoms
Space-group type   P4/mmm (123)
Total moment   0.84 μB per cell
Volume   148.5 Å³/f.u.
VASP energy   -20.1 eV per cell
Density of states at the Fermi level   2.12 states/eV per cell

=====

First-principles (GGA-PBE) data for a relaxed NaSeBr2Cl crystal, as listed in the Alexandria database.

Unit cell a=5.614 b=5.614 c=4.945 alpha=90.00 beta=90.00 gamma=90.00
Sites, in units of the cell vectors:
Cl 0.000 0.000 0.500
Br 0.000 0.500 0.000
Br 0.500 0.000 0.000
Se 0.000 0.000 0.000
Na 0.500 0.500 0.500

Relative energy among the computed polymorphs   0.000 eV/f.u.
Formation energy (no corrections)   -50.4 kJ/mol of atoms
Space-group type   P4/mmm (123)
Total moment   0.00 μB per cell
Volume   155.8 Å³/f.u.
VASP energy   -12.6 eV per cell
Density of states at the Fermi level   3.24 states/eV per cell

=====

Q: Which formula does entry 3 have?
A: NaSeBr2Cl